No. 1
An optimized crystal structure of GdScNiHg, computed with PBE.

Calculated values
Spin magnetization   7.14 μB per formula unit
Calculated density   8954 kg/m3
Energy of formation   -316 meV per atom

Cell lengths 6.995, 6.995, 6.995 Å; angles 90.00, 90.00, 90.00 degrees
Space group F-43m (No. 216)
Inequivalent atoms, fractional coordinates:
Gd 0.000 0.000 0.000 (multiplicity 4)
Sc 0.000 0.000 0.500 (multiplicity 4)
Ni 0.250 0.250 0.250 (multiplicity 4)
Hg 0.250 0.250 0.750 (multiplicity 4)

No. 2
An optimized crystal structure of YTmAlGe, computed with PBE.

Calculated values
Spin magnetization   0.00 μB per formula unit
Calculated density   6334 kg/m3
Energy of formation   -699 meV per atom

Cell lengths 3.999, 4.336, 10.809 Å; angles 90.00, 90.00, 90.00 degrees
Space group Amm2 (No. 38)
Inequivalent atoms, fractional coordinates:
Y 0.000 0.000 0.000 (multiplicity 2)
Tm 0.500 0.000 0.282 (multiplicity 2)
Al 0.000 0.000 0.717 (multiplicity 2)
Ge 0.500 0.000 0.562 (multiplicity 2)

No. 3
An optimized crystal structure of TaCo2Se, computed with PBE.

Calculated values
Spin magnetization   1.44 μB per formula unit
Calculated density   11287 kg/m3
Formation energy without anion corrections   0.222 eV per atom

Cell lengths 6.058, 6.058, 6.058 Å; angles 90.00, 90.00, 90.00 degrees
Space group F-43m (No. 216)
Inequivalent atoms, fractional coordinates:
Ta 0.000 0.000 0.000 (multiplicity 4)
Co 0.000 0.000 0.500 (multiplicity 4)
Co 0.250 0.250 0.250 (multiplicity 4)
Se 0.250 0.250 0.750 (multiplicity 4)

No. 4
An optimized crystal structure of Zr2RuN, computed with PBE.

Calculated values
Spin magnetization   0.00 μB per formula unit
Calculated density   7952 kg/m3
Formation energy without anion corrections   -0.987 eV per atom

Cell lengths 3.228, 3.228, 11.922 Å; angles 90.00, 90.00, 90.00 degrees
Space group I4mm (No. 107)
Inequivalent atoms, fractional coordinates:
Zr 0.000 0.000 0.000 (multiplicity 2)
Zr 0.000 0.000 0.287 (multiplicity 2)
Ru 0.000 0.000 0.632 (multiplicity 2)
N 0.000 0.000 0.813 (multiplicity 2)

No. 5
An optimized crystal structure of Cr2AgHg, computed with PBE.

Calculated values
Spin magnetization   0.00 μB per formula unit
Calculated density   10086 kg/m3
Energy of formation   662 meV per atom

Cell lengths 10.071, 2.955, 4.845 Å; angles 90.00, 109.64, 90.00 degrees
Space group C2/m (No. 12)
Inequivalent atoms, fractional coordinates:
Cr 0.249 0.000 0.343 (multiplicity 4)
Ag 0.000 0.000 0.500 (multiplicity 2)
Hg 0.000 0.500 0.000 (multiplicity 2)

No. 6
An optimized crystal structure of Tm5Sb2Pd, computed with PBE.

Calculated values
Spin magnetization   0.00 μB per formula unit
Calculated density   9392 kg/m3
Formation energy without anion corrections   -0.786 eV per atom
Distance to the lowest polymorph of the same formula   0.0 meV/atom

Cell lengths 7.810, 12.033, 4.495 Å; angles 90.00, 90.00, 90.00 degrees
Space group Pbam (No. 55)
Inequivalent atoms, fractional coordinates:
Tm 0.000 0.000 0.000 (multiplicity 2)
Tm 0.148 0.293 0.000 (multiplicity 4)
Tm 0.185 0.568 0.500 (multiplicity 4)
Sb 0.069 0.828 0.500 (multiplicity 4)
Pd 0.000 0.500 0.000 (multiplicity 2)

No. 7
An optimized crystal structure of K2UInS6, computed with PBE.

Calculated values
Spin magnetization   0.00 μB per formula unit
Calculated density   3849 kg/m3
Formation energy without anion corrections   -0.917 eV per atom

Cell lengths 7.244, 7.245, 12.547 Å; angles 90.00, 125.22, 90.00 degrees
Space group P2_1/c (No. 14)
Inequivalent atoms, fractional coordinates:
K 0.249 0.003 0.250 (multiplicity 4)
U 0.000 0.000 0.500 (multiplicity 2)
In 0.500 0.000 0.000 (multiplicity 2)
S 0.235 0.000 0.746 (multiplicity 4)
S 0.241 0.743 0.506 (multiplicity 4)
S 0.263 0.235 0.506 (multiplicity 4)

No. 8
An optimized crystal structure of RbHgGeTe4, computed with PBE.

Calculated values
Spin magnetization   0.00 μB per formula unit
Calculated density   5114 kg/m3
Formation energy without anion corrections   -0.260 eV per atom

Cell lengths 7.506, 7.191, 10.925 Å; angles 90.00, 106.85, 90.00 degrees
Space group P2_1/m (No. 11)
Inequivalent atoms, fractional coordinates:
Rb 0.207 0.250 0.038 (multiplicity 2)
Hg 0.274 0.250 0.683 (multiplicity 2)
Ge 0.236 0.750 0.306 (multiplicity 2)
Te 0.002 0.522 0.710 (multiplicity 4)
Te 0.372 0.750 0.111 (multiplicity 2)
Te 0.465 0.250 0.490 (multiplicity 2)

No. 9
An optimized crystal structure of BeIr2C, computed with PBE.

Calculated values
Spin magnetization   0.00 μB per formula unit
Calculated density   15817 kg/m3
Distance to the lowest polymorph of the same formula   147.8 meV/atom
Energy of formation   642 meV per atom

Cell lengths 5.543, 5.543, 5.543 Å; angles 90.00, 90.00, 90.00 degrees
Space group Fm-3m (No. 225)
Inequivalent atoms, fractional coordinates:
Be 0.000 0.000 0.000 (multiplicity 4)
Ir 0.250 0.250 0.250 (multiplicity 8)
C 0.000 0.000 0.500 (multiplicity 4)

No. 10
An optimized crystal structure of Pr2NdTi, computed with PBE.

Calculated values
Spin magnetization   1.71 μB per formula unit
Calculated density   6279 kg/m3
Energy of formation   473 meV per atom

Cell lengths 3.4413, 3.4413, 36.6593 Å; angles 90.00, 90.00, 120.00 degrees
Space group R-3m (No. 166, hexagonal axes)
Inequivalent atoms, fractional coordinates:
Pr 0.0000 0.0000 0.0814 (multiplicity 6)
Nd 0.0000 0.0000 0.5000 (multiplicity 3)
Ti 0.0000 0.0000 0.0000 (multiplicity 3)

No. 11
An optimized crystal structure of Li2MoSe, computed with PBE.

Calculated values
Spin magnetization   0.00 μB per formula unit
Calculated density   4878 kg/m3
Formation energy without anion corrections   0.047 eV per atom

Cell lengths 2.625, 4.679, 5.233 Å; angles 90.00, 90.32, 90.00 degrees
Space group Pm (No. 6)
Inequivalent atoms, fractional coordinates:
Li 0.000 0.000 0.000 (multiplicity 1)
Li 0.005 0.500 0.736 (multiplicity 1)
Mo 0.504 0.500 0.240 (multiplicity 1)
Se 0.507 0.000 0.459 (multiplicity 1)

No. 12
An optimized crystal structure of NbCuSb2, computed with PBE.

Calculated values
Spin magnetization   0.00 μB per formula unit
Calculated density   7707 kg/m3
Formation energy without anion corrections   0.520 eV per atom

Cell lengths 3.2077, 3.2077, 29.0145 Å; angles 90.00, 90.00, 120.00 degrees
Space group R-3m (No. 166, hexagonal axes)
Inequivalent atoms, fractional coordinates:
Nb 0.0000 0.0000 0.0000 (multiplicity 3)
Cu 0.0000 0.0000 0.5000 (multiplicity 3)
Sb 0.0000 0.0000 0.0973 (multiplicity 6)

Number 1: E -6.94 eV/atom. Number 2: E -5.52 eV/atom. Number 3: E -7.17 eV/atom. Number 4: E -9.66 eV/atom. Number 5: E -4.94 eV/atom. Number 6: E -5.26 eV/atom. Number 7: E -5.02 eV/atom. Number 8: E -2.90 eV/atom. Number 9: E -7.03 eV/atom. Number 10: E -5.08 eV/atom. Number 11: E -4.49 eV/atom. Number 12: E -5.08 eV/atom.